No. 1
VASP calculation (PBE) on a geometry-optimized Tb2Sm2ErSc2 structure.

POSCAR file:
```
Tb2Sm2ErSc2
1.0
3.432 0.000 0.000
-1.716 5.457 1.550
0.000 0.662 11.578
Sm Tb Sc Er
2 2 2 1
direct
0.670 0.340 0.911 Sm
0.330 0.660 0.089 Sm
0.547 0.094 0.234 Tb
0.453 0.906 0.766 Tb
0.772 0.543 0.369 Sc
0.228 0.457 0.631 Sc
0.000 0.000 0.500 Er
```

Summary:
Total magnetic moment ... 0.00 μB per atom
E_form ... 108.6 meV per atom
ρ ... 6.82 g/cm³



No. 2
VASP calculation (PBE) on a geometry-optimized CuHPd3 structure.

POSCAR file:
```
CuHPd3
1.0
4.622 0.000 0.000
0.000 4.622 0.000
0.000 0.000 4.622
H Pd Cu
1 3 1
direct
0.500 0.500 0.500 H
0.500 0.000 0.000 Pd
0.000 0.000 0.500 Pd
0.000 0.500 0.000 Pd
0.000 0.000 0.000 Cu
```

Summary:
Total magnetic moment ... 0.13 μB per atom
Energy above the lowest structure with this stoichiometry ... 1367 meV/atom
ρ ... 6.45 g/cm³